Entry 1:
Ba5Sr2Au PBE optimized geometry; total moment = 0.00 μB per formula unit; space-group type = No. 55; final energy = -2.18 eV/atom; Fermi-level density of states = 21.63 states/eV/cell
1.0
10.409 0.000 0.000
0.000 19.313 0.000
0.000 0.000 4.208
Ba Sr Au
10 4 2
Direct
0.000 0.000 0.000 Ba
0.003 0.223 0.000 Ba
0.185 0.398 0.500 Ba
0.315 0.898 0.500 Ba
0.497 0.723 0.000 Ba
0.500 0.500 0.000 Ba
0.503 0.277 0.000 Ba
0.685 0.102 0.500 Ba
0.815 0.602 0.500 Ba
0.997 0.777 0.000 Ba
0.182 0.601 0.500 Sr
0.318 0.101 0.500 Sr
0.682 0.899 0.500 Sr
0.818 0.399 0.500 Sr
0.000 0.500 0.000 Au
0.500 0.000 0.000 Au

=====

Entry 2:
CsK5H6 PBE optimized geometry; total moment = 0.00 μB per formula unit; space-group type = No. 12; final energy = -2.40 eV/atom; Fermi-level density of states = 0.00 states/eV/cell
1.0
3.536 -6.123 0.000
3.536 6.123 0.000
-2.358 0.000 6.651
Cs K H
1 5 6
Direct
0.000 0.000 0.000 Cs
0.169 0.831 0.500 K
0.333 0.667 0.000 K
0.500 0.500 0.500 K
0.667 0.333 0.000 K
0.831 0.169 0.500 K
0.086 0.439 0.256 H
0.265 0.265 0.736 H
0.439 0.086 0.256 H
0.561 0.914 0.744 H
0.735 0.735 0.264 H
0.914 0.561 0.744 H

=====

Entry 3:
NaCrSeCl2 PBE optimized geometry; total moment = 5.48 μB per formula unit; space-group type = No. 123; Fermi-level density of states = 2.63 states/eV/cell; formation energy without anion corrections = 0.22 eV/atom
1.0
5.403 0.000 0.000
0.000 5.403 0.000
0.000 0.000 5.240
Na Cr Se Cl
1 1 1 2
Direct
0.000 0.000 0.000 Na
0.500 0.500 0.000 Cr
0.000 0.000 0.500 Se
0.000 0.500 0.500 Cl
0.500 0.000 0.500 Cl

=====

Entry 4:
HfNb2C PBE optimized geometry; total moment = 0.00 μB per formula unit; space-group type = No. 122; final energy = -9.77 eV/atom; Fermi-level density of states = 6.33 states/eV/cell
1.0
-3.777 3.777 2.331
3.777 -3.777 2.331
3.777 3.777 -2.331
Hf Nb C
2 4 2
Direct
0.000 0.000 0.000 Hf
0.750 0.250 0.500 Hf
0.237 0.125 0.612 Nb
0.375 0.763 0.888 Nb
0.513 0.625 0.388 Nb
0.875 0.487 0.112 Nb
0.250 0.750 0.500 C
0.500 0.500 0.000 C

=====

Entry 5:
Zr2AlCu3 PBE optimized geometry; distance to the lowest polymorph of the same formula = 416.1 meV/atom; total moment = 0.00 μB per formula unit; space-group type = No. 191; Fermi-level density of states = 4.94 states/eV/cell
1.0
5.087 0.000 0.000
-2.543 4.405 0.000
0.000 0.000 4.865
Zr Al Cu
2 1 3
Direct
0.333 0.667 0.000 Zr
0.667 0.333 0.000 Zr
0.000 0.000 0.000 Al
0.000 0.500 0.500 Cu
0.500 0.000 0.500 Cu
0.500 0.500 0.500 Cu

=====

Entry 6:
CrIr2Pb PBE optimized geometry; total moment = 3.11 μB per formula unit; space-group type = No. 47; final energy = -7.20 eV/atom; Fermi-level density of states = 4.27 states/eV/cell
1.0
2.997 0.000 0.000
0.000 4.688 0.000
0.000 0.000 4.780
Cr Ir Pb
1 2 1
Direct
0.000 0.000 0.000 Cr
0.000 0.500 0.500 Ir
0.500 0.500 0.000 Ir
0.500 0.000 0.500 Pb

=====

Entry 7:
Sm2ErGa6 PBE optimized geometry; distance to the lowest polymorph of the same formula = 0.0 meV/atom; total moment = 0.00 μB per formula unit; space-group type = No. 191; Fermi-level density of states = 5.77 states/eV/cell
1.0
7.328 0.000 0.000
-3.664 6.346 0.000
0.000 0.000 4.182
Sm Er Ga
2 1 6
Direct
0.333 0.667 0.000 Sm
0.667 0.333 0.000 Sm
0.000 0.000 0.000 Er
0.000 0.332 0.500 Ga
0.000 0.668 0.500 Ga
0.332 0.000 0.500 Ga
0.332 0.332 0.500 Ga
0.668 0.000 0.500 Ga
0.668 0.668 0.500 Ga

=====

Entry 8:
Al2TeIr PBE optimized geometry; total moment = 0.00 μB per formula unit; space-group type = No. 8; Fermi-level density of states = 1.78 states/eV/cell; formation energy without anion corrections = -0.29 eV/atom
1.0
3.986 -1.977 0.000
3.986 1.977 0.000
-1.929 0.000 5.639
Al Te Ir
2 1 1
Direct
0.000 0.000 0.000 Al
0.250 0.250 0.783 Al
0.927 0.927 0.416 Te
0.551 0.551 0.763 Ir